A plane-wave DFT calculation with PBE was carried out for TlTc2H after structural relaxation.

```
TlTc2H
1.0
4.957 0.000 0.000
0.000 4.957 0.000
2.478 2.478 5.016
H Tl Tc
2 2 4
Cartesian
2.478 2.478 0.000
2.478 4.957 2.508
0.000 0.000 0.000
4.957 2.478 2.508
2.477 1.239 1.254
2.480 3.718 1.254
3.718 4.958 3.762
6.196 4.956 3.762
```

Summary:
Energy ... -5.953 eV per atom
Space-group type ... No. 141